18
Lattice="7.352 0.036 0.026 3.663 6.375 0.026 3.663 2.132 6.008" Properties=species:S:1:pos:R:3 comment="GGA-PBE K2TiSb3O12, optimized geometry" total_energy_ev_per_atom=-6.063 pbc="T T T"
K 9.164 5.334 3.783
K 5.514 3.210 2.276
Ti 0.000 0.000 0.000
Sb 3.676 0.018 0.013
Sb 1.831 3.188 0.013
Sb 1.831 1.066 3.004
O 7.002 4.076 5.573
O 11.431 6.654 1.941
O 9.151 7.949 5.638
O 9.203 2.826 2.004
O 11.431 4.032 5.638
O 7.002 6.607 2.004
O 7.675 4.468 0.487
O 3.246 1.890 4.119
O 5.527 0.595 0.422
O 5.474 5.718 4.056
O 3.246 4.512 0.422
O 7.675 1.936 4.056

***

5
Lattice="3.867 0.000 1.334 -0.461 3.838 1.337 0.119 0.129 5.914" Properties=species:S:1:pos:R:3 comment="GGA-PBE NdPRh3, optimized geometry" e_form_ev_per_atom=-0.8774 total_energy_ev_per_atom=-7.324 pbc="T T T"
Nd 1.525 0.858 6.259
P -0.189 3.285 4.968
Rh 2.080 3.663 4.664
Rh 0.376 1.745 3.328
Rh 2.876 2.384 2.355

***

4
Lattice="3.658 0.000 0.000 0.000 3.839 0.000 0.000 0.000 3.839" Properties=species:S:1:pos:R:3 comment="GGA-PBE Cr2MoRu, optimized geometry" e_form_ev_per_atom=0.2371 total_energy_ev_per_atom=-9.601 pbc="T T T"
Cr 0.000 0.000 0.000
Cr 0.000 1.920 1.920
Mo 1.829 1.920 0.000
Ru 1.829 0.000 1.920

***

16
Lattice="-3.420 1.495 0.739 -1.649 -6.380 -4.515 -1.126 -9.233 13.457" Properties=species:S:1:pos:R:3 comment="GGA-PBE Er5Te2H, optimized geometry" total_energy_ev_per_atom=-4.491 pbc="T T T"
Er -5.034 -11.075 8.900
Er -4.807 -9.213 6.185
Er -2.771 -8.021 3.401
Er -2.299 -4.154 -2.235
Er -4.061 -5.031 1.180
Er -2.134 -9.087 8.501
Er -3.424 -6.097 6.280
Er -3.896 -9.964 11.916
Er -1.161 -3.042 0.781
Er -1.388 -4.905 3.496
Te -5.210 -7.872 1.608
Te -4.930 -5.575 -1.740
Te -0.985 -6.246 8.073
Te -1.265 -8.543 11.421
H -4.304 -9.111 8.303
H -1.891 -5.007 1.378

***

Question: What is the formula in the second record?
Answer: NdPRh3